[1]
An optimized crystal structure of Be2TcF, computed with GGA-PBEsol.

The calculation puts the energy relative to the elements, uncorrected at 522 meV/atom. The calculation puts the final energy at -4.78 eV/atom.

a b c (Å): 5.6014 5.6014 5.6014
angles (deg): 90.00 90.00 90.00
Space group Fm-3m (No. 225)
Symmetry-distinct sites (fractional):
Be 0.2500 0.2500 0.2500 [8 per cell]
Tc 0.0000 0.0000 0.0000 [4 per cell]
F 0.0000 0.0000 0.5000 [4 per cell]

=====

[2]
An optimized crystal structure of Zr2TeAu, computed with GGA-PBEsol.

Its energy above the most stable polymorph in this dataset is 0.57 kcal/mol of atoms. The calculation puts the energy relative to the elements, uncorrected at -564 meV/atom. The calculation puts the final energy at -6.97 eV/atom.

a b c (Å): 4.6241 4.6241 7.6241
angles (deg): 90.00 90.00 90.00
Space group I4/mmm (No. 139)
Symmetry-distinct sites (fractional):
Zr 0.0000 0.5000 0.2500 [4 per cell]
Te 0.0000 0.0000 0.0000 [2 per cell]
Au 0.0000 0.0000 0.5000 [2 per cell]

=====

[3]
An optimized crystal structure of LaCrP4, computed with GGA-PBEsol.

Its formation energy is 0.14 eV per formula unit. The calculation puts the final energy at -6.44 eV/atom.

a b c (Å): 7.4613 7.4613 7.4613
angles (deg): 90.00 90.00 90.00
Space group F-43m (No. 216)
Symmetry-distinct sites (fractional):
La 0.0000 0.0000 0.0000 [4 per cell]
Cr 0.2500 0.2500 0.2500 [4 per cell]
P 0.1163 0.1163 0.6163 [16 per cell]

=====

[4]
An optimized crystal structure of CrPtAu, computed with GGA-PBEsol.

Its formation energy is 1.80 eV per formula unit. The calculation puts the final energy at -6.44 eV/atom.

a b c (Å): 6.0623 6.0623 6.0623
angles (deg): 90.00 90.00 90.00
Space group F-43m (No. 216)
Symmetry-distinct sites (fractional):
Cr 0.0000 0.0000 0.0000 [4 per cell]
Pt 0.0000 0.0000 0.5000 [4 per cell]
Au 0.2500 0.2500 0.2500 [4 per cell]

=====

[5]
An optimized crystal structure of Sc2OsPb, computed with GGA-PBEsol.

Its formation energy is -1.90 eV per formula unit. The calculation puts the final energy at -7.83 eV/atom.

a b c (Å): 3.2162 3.2162 7.7617
angles (deg): 90.00 90.00 90.00
Space group P4/mmm (No. 123)
Symmetry-distinct sites (fractional):
Sc 0.0000 0.0000 0.1981 [2 per cell]
Os 0.5000 0.5000 0.0000 [1 per cell]
Pb 0.5000 0.5000 0.5000 [1 per cell]

=====

[6]
An optimized crystal structure of ReSbRu2, computed with GGA-PBEsol.

The calculation puts the energy relative to the elements, uncorrected at 183 meV/atom. The calculation puts the final energy at -9.38 eV/atom.

a b c (Å): 2.8973 2.8973 7.2613
angles (deg): 90.00 90.00 90.00
Space group P4/mmm (No. 123)
Symmetry-distinct sites (fractional):
Re 0.0000 0.0000 0.0000 [1 per cell]
Sb 0.0000 0.0000 0.5000 [1 per cell]
Ru 0.5000 0.5000 0.2380 [2 per cell]

=====

[7]
An optimized crystal structure of Er6MnSb2, computed with GGA-PBEsol.

The calculation puts the energy relative to the elements, uncorrected at -543 meV/atom. The calculation puts the final energy at -5.93 eV/atom.

a b c (Å): 7.9839 7.9839 4.1158
angles (deg): 90.00 90.00 120.00
Space group P-62m (No. 189)
Symmetry-distinct sites (fractional):
Er 0.0000 0.3960 0.0000 [3 per cell]
Er 0.0000 0.7650 0.5000 [3 per cell]
Mn 0.0000 0.0000 0.0000 [1 per cell]
Sb 0.3333 0.6667 0.5000 [2 per cell]

=====

[8]
An optimized crystal structure of NaTa2F, computed with GGA-PBEsol.

The calculation puts the energy relative to the elements, uncorrected at 943 meV/atom. The calculation puts the final energy at -6.16 eV/atom.

a b c (Å): 5.7979 5.7979 11.0250
angles (deg): 90.00 90.00 90.00
Space group I4_1/amd (No. 141, origin choice 2)
Symmetry-distinct sites (fractional):
Na 0.0000 0.2500 0.3750 [4 per cell]
Ta 0.0000 0.0000 0.0000 [8 per cell]
F 0.0000 0.2500 0.8750 [4 per cell]

=====

[9]
An optimized crystal structure of EuCuSF, computed with GGA-PBEsol.

The calculation puts the energy relative to the elements, uncorrected at -2075 meV/atom. The calculation puts the final energy at -7.38 eV/atom.

a b c (Å): 3.8334 3.8334 8.4539
angles (deg): 90.00 90.00 90.00
Space group P4/nmm (No. 129, origin choice 2)
Symmetry-distinct sites (fractional):
Eu 0.2500 0.2500 0.1786 [2 per cell]
Cu 0.2500 0.7500 0.5000 [2 per cell]
S 0.2500 0.2500 0.6669 [2 per cell]
F 0.2500 0.7500 0.0000 [2 per cell]

=====

[10]
An optimized crystal structure of MoRuW2, computed with GGA-PBEsol.

Its energy above the most stable polymorph in this dataset is 2.86 kcal/mol of atoms. Its formation energy is 1.14 eV per formula unit. The calculation puts the final energy at -12.10 eV/atom.

a b c (Å): 2.7523 2.7523 27.8490
angles (deg): 90.00 90.00 120.00
Space group R-3m (No. 166, hexagonal axes)
Symmetry-distinct sites (fractional):
Mo 0.0000 0.0000 0.0000 [3 per cell]
Ru 0.0000 0.0000 0.5000 [3 per cell]
W 0.0000 0.0000 0.2458 [6 per cell]

=====

[11]
An optimized crystal structure of LiTl2Pt, computed with GGA-PBEsol.

Its formation energy is -0.56 eV per formula unit. The calculation puts the final energy at -3.69 eV/atom.

a b c (Å): 3.7735 4.2431 5.1617
angles (deg): 90.00 105.15 90.00
Space group Pm (No. 6)
Symmetry-distinct sites (fractional):
Li 0.0000 0.0000 0.0000 [1 per cell]
Tl 0.4449 0.5000 0.8657 [1 per cell]
Tl 0.6578 0.0000 0.4413 [1 per cell]
Pt 0.0991 0.5000 0.2998 [1 per cell]

=====

[12]
An optimized crystal structure of YMnMo2, computed with GGA-PBEsol.

Its formation energy is 2.29 eV per formula unit. The calculation puts the final energy at -9.46 eV/atom.

a b c (Å): 3.7806 3.7806 9.4484
angles (deg): 90.00 90.00 90.00
Space group I4/mmm (No. 139)
Symmetry-distinct sites (fractional):
Y 0.0000 0.0000 0.0000 [2 per cell]
Mn 0.0000 0.0000 0.5000 [2 per cell]
Mo 0.0000 0.5000 0.2500 [4 per cell]

=====

[13]
An optimized crystal structure of AlBiSe2, computed with GGA-PBEsol.

The calculation puts the energy relative to the elements, uncorrected at -591 meV/atom. The calculation puts the final energy at -4.61 eV/atom.

a b c (Å): 3.6500 3.6500 25.6897
angles (deg): 90.00 90.00 120.00
Space group R-3m (No. 166, hexagonal axes)
Symmetry-distinct sites (fractional):
Al 0.0000 0.0000 0.0000 [3 per cell]
Bi 0.0000 0.0000 0.5000 [3 per cell]
Se 0.0000 0.0000 0.3879 [6 per cell]

=====

[14]
An optimized crystal structure of LiTcP, computed with GGA-PBEsol.

Its energy above the most stable polymorph in this dataset is 7.86 kcal/mol of atoms. Its formation energy is 0.03 eV per formula unit. The calculation puts the final energy at -6.33 eV/atom.

a b c (Å): 3.1244 4.6219 12.0636
angles (deg): 90.00 90.00 90.00
Space group Fmm2 (No. 42)
Symmetry-distinct sites (fractional):
Li 0.0000 0.0000 0.0000 [4 per cell]
Tc 0.0000 0.0000 0.6907 [4 per cell]
P 0.0000 0.0000 0.3258 [4 per cell]

=====

[15]
An optimized crystal structure of SrMgTa2, computed with GGA-PBEsol.

Its formation energy is 3.30 eV per formula unit. The calculation puts the final energy at -6.34 eV/atom.

a b c (Å): 2.9849 2.9849 33.1210
angles (deg): 90.00 90.00 120.00
Space group R-3m (No. 166, hexagonal axes)
Symmetry-distinct sites (fractional):
Sr 0.0000 0.0000 0.0000 [3 per cell]
Mg 0.0000 0.0000 0.5000 [3 per cell]
Ta 0.0000 0.0000 0.2434 [6 per cell]

=====

[16]
An optimized crystal structure of NbAl3Cu, computed with GGA-PBEsol.

Its formation energy is 5.97 eV per formula unit. The calculation puts the final energy at -4.29 eV/atom.

a b c (Å): 4.9059 4.9059 4.9059
angles (deg): 90.00 90.00 90.00
Space group Pm-3m (No. 221)
Symmetry-distinct sites (fractional):
Nb 0.0000 0.0000 0.0000 [1 per cell]
Al 0.0000 0.0000 0.5000 [3 per cell]
Cu 0.5000 0.5000 0.5000 [1 per cell]

=====

[17]
An optimized crystal structure of Li13Ti22O48, computed with GGA-PBEsol.

The calculation puts the energy relative to the elements, uncorrected at -2868 meV/atom. The calculation puts the final energy at -8.42 eV/atom.

a b c (Å): 30.6109 5.9025 10.2097
angles (deg): 90.00 109.37 90.00
Space group Cm (No. 8)
Symmetry-distinct sites (fractional):
Li 0.0000 0.0000 0.0000 [2 per cell]
Li 0.0001 0.5000 0.4964 [2 per cell]
Li 0.0218 0.0000 0.3544 [2 per cell]
Li 0.0431 0.0000 0.7082 [2 per cell]
Li 0.0433 0.5000 0.2123 [2 per cell]
Li 0.1680 0.0000 0.8312 [2 per cell]
Li 0.1679 0.5000 0.3326 [2 per cell]
Li 0.2107 0.0000 0.5444 [2 per cell]
Li 0.2106 0.5000 0.0460 [2 per cell]
Li 0.2713 0.0000 0.1048 [2 per cell]
Li 0.3342 0.5000 0.1650 [2 per cell]
Li 0.3745 0.5000 0.8768 [2 per cell]
Li 0.3755 0.0000 0.3772 [2 per cell]
Ti 0.0216 0.5000 0.8541 [2 per cell]
Ti 0.1032 0.0000 0.2717 [2 per cell]
Ti 0.1027 0.2453 0.5171 [4 per cell]
Ti 0.1053 0.2506 0.0232 [4 per cell]
Ti 0.1064 0.5000 0.7737 [2 per cell]
Ti 0.1885 0.5000 0.6847 [2 per cell]
Ti 0.1905 0.0000 0.1834 [2 per cell]
Ti 0.2719 0.2431 0.8605 [4 per cell]
Ti 0.2724 0.2453 0.3500 [4 per cell]
Ti 0.2725 0.5000 0.6035 [2 per cell]
Ti 0.3531 0.0000 0.0275 [2 per cell]
Ti 0.3546 0.5000 0.5252 [2 per cell]
Ti 0.4359 0.0000 0.9333 [2 per cell]
Ti 0.4379 0.2480 0.6866 [4 per cell]
Ti 0.4408 0.2545 0.1912 [4 per cell]
Ti 0.4406 0.5000 0.4380 [2 per cell]
O 0.0655 0.5000 0.0491 [2 per cell]
O 0.0657 0.2749 0.8237 [4 per cell]
O 0.0690 0.0000 0.0695 [2 per cell]
O 0.0691 0.0000 0.5582 [2 per cell]
O 0.0690 0.2333 0.3251 [4 per cell]
O 0.0693 0.5000 0.5685 [2 per cell]
O 0.1409 0.0000 0.4743 [2 per cell]
O 0.1410 0.5000 0.9749 [2 per cell]
O 0.1444 0.2221 0.2185 [4 per cell]
O 0.1449 0.0000 0.9929 [2 per cell]
O 0.1450 0.2760 0.7190 [4 per cell]
O 0.1451 0.5000 0.4962 [2 per cell]
O 0.2301 0.2333 0.1632 [4 per cell]
O 0.2320 0.0000 0.3818 [2 per cell]
O 0.2320 0.2757 0.6566 [4 per cell]
O 0.2318 0.5000 0.8820 [2 per cell]
O 0.2351 0.0000 0.8899 [2 per cell]
O 0.2362 0.5000 0.4037 [2 per cell]
O 0.3062 0.5000 0.8038 [2 per cell]
O 0.3077 0.0000 0.3176 [2 per cell]
O 0.3104 0.2808 0.5491 [4 per cell]
O 0.3107 0.0000 0.8318 [2 per cell]
O 0.3112 0.5000 0.3248 [2 per cell]
O 0.3133 0.2350 0.0467 [4 per cell]
O 0.3983 0.0000 0.2138 [2 per cell]
O 0.3988 0.2224 0.9901 [4 per cell]
O 0.3987 0.2775 0.4900 [4 per cell]
O 0.3989 0.5000 0.7163 [2 per cell]
O 0.4029 0.5000 0.2344 [2 per cell]
O 0.4041 0.0000 0.7357 [2 per cell]
O 0.4742 0.0000 0.1415 [2 per cell]
O 0.4744 0.2665 0.3836 [4 per cell]
O 0.4743 0.5000 0.1505 [2 per cell]
O 0.4744 0.5000 0.6390 [2 per cell]
O 0.4783 0.0000 0.6597 [2 per cell]
O 0.4780 0.2247 0.8863 [4 per cell]

=====

[18]
An optimized crystal structure of LaErO3, computed with GGA-PBEsol.

The calculation puts the energy relative to the elements, uncorrected at -3558 meV/atom. The calculation puts the final energy at -8.76 eV/atom.

a b c (Å): 6.0046 8.3854 5.8071
angles (deg): 90.00 90.00 90.00
Space group Pnma (No. 62)
Symmetry-distinct sites (fractional):
La 0.0504 0.2500 0.0163 [4 per cell]
Er 0.0000 0.0000 0.5000 [4 per cell]
O 0.0562 0.7500 0.3732 [4 per cell]
O 0.1956 0.5679 0.8061 [8 per cell]

=====

[19]
An optimized crystal structure of TiCd3Si, computed with GGA-PBEsol.

The calculation puts the energy relative to the elements, uncorrected at 850 meV/atom. The calculation puts the final energy at -2.68 eV/atom.

a b c (Å): 4.9204 4.9204 4.9204
angles (deg): 90.00 90.00 90.00
Space group Pm-3m (No. 221)
Symmetry-distinct sites (fractional):
Ti 0.0000 0.0000 0.0000 [1 per cell]
Cd 0.0000 0.5000 0.5000 [3 per cell]
Si 0.5000 0.5000 0.5000 [1 per cell]

=====

[20]
An optimized crystal structure of CaTaAg2, computed with GGA-PBEsol.

Its energy above the most stable polymorph in this dataset is 0.00 kcal/mol of atoms. Its formation energy is 1.00 eV per formula unit. The calculation puts the final energy at -5.08 eV/atom.

a b c (Å): 2.8719 4.0308 6.8173
angles (deg): 90.00 90.00 90.00
Space group Pmmm (No. 47)
Symmetry-distinct sites (fractional):
Ca 0.0000 0.0000 0.0000 [1 per cell]
Ta 0.0000 0.0000 0.5000 [1 per cell]
Ag 0.5000 0.5000 0.2889 [2 per cell]

=====

[21]
An optimized crystal structure of NdGaCo4, computed with GGA-PBEsol.

Its energy above the most stable polymorph in this dataset is 0.00 kcal/mol of atoms. Its formation energy is -1.23 eV per formula unit. The calculation puts the final energy at -6.78 eV/atom.

a b c (Å): 8.5477 8.5477 3.9637
angles (deg): 90.00 90.00 120.00
Space group P6/mmm (No. 191)
Symmetry-distinct sites (fractional):
Nd 0.0000 0.0000 0.0000 [1 per cell]
Nd 0.3333 0.6667 0.0000 [2 per cell]
Ga 0.0000 0.5000 0.5000 [3 per cell]
Co 0.0000 0.3226 0.0000 [6 per cell]
Co 0.1612 0.3223 0.5000 [6 per cell]